Here is crystalline LaTe3 at its relaxed geometry from Alexandria. Energies are from PBE.

abc: 10.814 8.425 6.552
angles: 90.00 90.00 90.00
Fractional coordinates of all 16 atoms:
La (0.119, 0.250, 0.112)
La (0.381, 0.750, 0.612)
La (0.619, 0.250, 0.388)
La (0.881, 0.750, 0.888)
Te (0.054, 0.250, 0.626)
Te (0.142, 0.556, 0.800)
Te (0.142, 0.944, 0.800)
Te (0.358, 0.056, 0.300)
Te (0.358, 0.444, 0.300)
Te (0.446, 0.750, 0.126)
Te (0.554, 0.250, 0.874)
Te (0.642, 0.556, 0.700)
Te (0.642, 0.944, 0.700)
Te (0.858, 0.056, 0.200)
Te (0.858, 0.444, 0.200)
Te (0.946, 0.750, 0.374)

Size of the total moment (μB/cell): 0.0
Formation energy from raw total energies (eV/f.u.): -3.615



Here is crystalline LaTe2 at its relaxed geometry from Alexandria. Energies are from PBE.

abc: 5.330 5.330 3.888
angles: 90.00 90.00 120.00
Fractional coordinates of all 3 atoms:
La (0.000, 0.000, 0.000)
Te (0.333, 0.667, 0.500)
Te (0.667, 0.333, 0.500)

Size of the total moment (μB/cell): 0.0
Formation energy from raw total energies (eV/f.u.): -2.472



Here is crystalline LaTe2 at its relaxed geometry from Alexandria. Energies are from PBE.

abc: 9.159 9.159 9.239
angles: 90.00 90.00 90.00
Fractional coordinates of all 24 atoms:
La (0.000, 0.000, 0.000)
La (0.000, 0.500, 0.002)
La (0.244, 0.256, 0.548)
La (0.256, 0.756, 0.548)
La (0.500, 0.000, 0.002)
La (0.500, 0.500, 0.000)
La (0.744, 0.244, 0.548)
La (0.756, 0.744, 0.548)
Te (0.000, 0.000, 0.640)
Te (0.000, 0.500, 0.641)
Te (0.016, 0.750, 0.274)
Te (0.248, 0.252, 0.909)
Te (0.250, 0.016, 0.274)
Te (0.250, 0.516, 0.274)
Te (0.252, 0.752, 0.909)
Te (0.484, 0.250, 0.274)
Te (0.500, 0.000, 0.641)
Te (0.500, 0.500, 0.640)
Te (0.516, 0.750, 0.274)
Te (0.748, 0.248, 0.909)
Te (0.750, 0.484, 0.274)
Te (0.750, 0.984, 0.274)
Te (0.752, 0.748, 0.909)
Te (0.984, 0.250, 0.274)

Size of the total moment (μB/cell): 0.0
Formation energy from raw total energies (eV/f.u.): -4.215



Total energy across the listed records, respectively: -4.492 -4.561 -5.142 eV per atom.